# Ca5ErCd6

An optimized crystal structure of Ca5ErCd6 (PBE, the Alexandria database).

Computed properties:
**E**: -24.3 eV for the cell shown
**SG**: No. 12
**Total moment**: 0.0 μB per cell

Cell lengths 9.338, 9.338, 5.397 Å; angles 106.74, 106.74, 48.05 degrees
Atoms (fractional coordinates):
Ca  0.000  0.000  0.000
Ca  0.164  0.164  0.665
Ca  0.330  0.330  0.329
Ca  0.670  0.670  0.671
Ca  0.836  0.836  0.335
Er  0.500  0.500  0.000
Cd  0.095  0.579  0.836
Cd  0.268  0.732  0.500
Cd  0.421  0.905  0.164
Cd  0.579  0.095  0.836
Cd  0.732  0.268  0.500
Cd  0.905  0.421  0.164